# 1
Density functional theory data (PBE) for crystalline InMoPt2I at its relaxed geometry.

```
InMoPt2I
1.0
4.9713 0.0000 0.0000
0.0000 5.8792 0.0000
0.0000 0.0000 4.9713
Pt In Mo I
2 1 1 1
direct
0.0000 0.0000 0.5000 Pt
0.5000 0.0000 0.0000 Pt
0.0000 0.0000 0.0000 In
0.5000 0.5000 0.5000 Mo
0.0000 0.5000 0.0000 I
```

Summary:
Formation energy (no corrections) ... 1.43 eV per atom

=====

# 2
Density functional theory data (PBE) for crystalline Rb2InMoI6 at its relaxed geometry.

```
Rb2InMoI6
1.0
8.6200 0.0000 0.0000
0.0000 8.6200 0.0000
4.3100 4.3100 6.0947
Rb I In Mo
2 6 1 1
direct
0.2500 0.7500 0.5000 Rb
0.7500 0.2500 0.5000 Rb
0.7315 0.2685 0.0000 I
0.7315 0.7315 0.0000 I
0.2685 0.2685 0.0000 I
0.2684 0.2684 0.4632 I
0.7316 0.7316 0.5368 I
0.2685 0.7315 0.0000 I
0.0000 0.0000 0.0000 In
0.5000 0.5000 0.0000 Mo
```

Summary:
Formation energy (no corrections) ... -0.72 eV per atom

=====

# 3
Density functional theory data (PBE) for crystalline InMo2RuI at its relaxed geometry.

```
InMo2RuI
1.0
4.8287 0.0000 0.0000
0.0000 5.4875 0.0000
0.0000 0.0000 4.8287
Mo Ru I In
2 1 1 1
direct
0.5000 0.0000 0.0000 Mo
0.0000 0.0000 0.5000 Mo
0.5000 0.5000 0.5000 Ru
0.0000 0.0000 0.0000 I
0.0000 0.5000 0.0000 In
```

Summary:
Formation energy (no corrections) ... 2.52 eV per atom

=====

# 4
Density functional theory data (PBE) for crystalline TaIn2MoI at its relaxed geometry.

```
TaIn2MoI
1.0
-1.1719 0.9719 5.2657
-0.9036 -4.6277 0.6530
5.2525 -0.8388 1.3238
In I Mo Ta
2 1 1 1
direct
0.5000 0.0000 0.0000 In
0.0000 0.0000 0.5000 In
0.5000 0.5000 0.5000 I
0.0000 0.0000 0.0000 Mo
0.0000 0.5000 0.0000 Ta
```

Summary:
Formation energy (no corrections) ... 0.81 eV per atom